Entry 1:
## LiYPt2 (PBE)

Data for an optimized crystal structure of LiYPt2.

Summary:
DFT formation energy = -0.92 eV/atom
Magnetic moment = 0.00 μB/f.u.

Lattice parameters (Å, degrees): 4.2351 4.2351 3.9197 90.00 90.00 90.00
Space group P4/mmm (No. 123)
Inequivalent atoms, fractional coordinates:
Li  0.0000  0.0000  0.0000
Y  0.5000  0.5000  0.0000
Pt  0.0000  0.5000  0.5000

Entry 2:
## Li2TmAsO4 (PBE)

Data for an optimized crystal structure of Li2TmAsO4.

Summary:
Magnetic moment = 0.00 μB/f.u.
E_form (uncorrected) = -2.1434 eV per atom

Lattice parameters (Å, degrees): 4.3954 4.3954 9.3795 90.00 90.00 90.00
Space group I-4m2 (No. 119)
Inequivalent atoms, fractional coordinates:
Li  0.0000  0.0000  0.0000
Li  0.0000  0.5000  0.2500
Tm  0.0000  0.5000  0.7500
As  0.0000  0.0000  0.5000
O  0.0000  0.0000  0.2678
O  0.0000  0.5000  0.5087

Entry 3:
## LiThGaRh (PBE)

Data for an optimized crystal structure of LiThGaRh.

Summary:
DFT formation energy = -0.54 eV/atom
Magnetic moment = 0.00 μB/f.u.

Lattice parameters (Å, degrees): 6.6901 6.6901 6.6901 90.00 90.00 90.00
Space group F-43m (No. 216)
Inequivalent atoms, fractional coordinates:
Li  0.0000  0.0000  0.0000
Th  0.2500  0.2500  0.7500
Ga  0.2500  0.2500  0.2500
Rh  0.0000  0.0000  0.5000

Entry 4:
## CaSc2Cu (PBE)

Data for an optimized crystal structure of CaSc2Cu.

Summary:
DFT formation energy = 0.27 eV/atom
Magnetic moment = 0.01 μB/f.u.

Lattice parameters (Å, degrees): 4.4037 4.4037 9.6016 90.00 90.00 90.00
Space group I-4m2 (No. 119)
Inequivalent atoms, fractional coordinates:
Ca  0.0000  0.0000  0.0000
Sc  0.0000  0.0000  0.5000
Sc  0.0000  0.5000  0.2500
Cu  0.0000  0.5000  0.7500

Entry 5:
## Ho4Fe (PBE)

Data for an optimized crystal structure of Ho4Fe.

Summary:
DFT formation energy = 0.11 eV/atom
Magnetic moment = 0.00 μB/f.u.

Lattice parameters (Å, degrees): 5.2327 5.2327 5.2327 90.00 90.00 90.00
Space group Pm-3m (No. 221)
Inequivalent atoms, fractional coordinates:
Ho  0.0000  0.0000  0.0000
Ho  0.0000  0.5000  0.5000
Fe  0.5000  0.5000  0.5000

Entry 6:
## Ti3CrW (PBE)

Data for an optimized crystal structure of Ti3CrW.

Summary:
DFT formation energy = 0.86 eV/atom
Magnetic moment = 0.00 μB/f.u.

Lattice parameters (Å, degrees): 4.4093 4.4093 4.4093 90.00 90.00 90.00
Space group Pm-3m (No. 221)
Inequivalent atoms, fractional coordinates:
Ti  0.0000  0.0000  0.5000
Cr  0.0000  0.0000  0.0000
W  0.5000  0.5000  0.5000

Entry 7:
## ErGa3Co (PBE)

Data for an optimized crystal structure of ErGa3Co.

Summary:
DFT formation energy = -0.30 eV/atom
Magnetic moment = 0.00 μB/f.u.

Lattice parameters (Å, degrees): 4.5221 4.5221 4.5221 90.00 90.00 90.00
Space group Pm-3m (No. 221)
Inequivalent atoms, fractional coordinates:
Er  0.0000  0.0000  0.0000
Ga  0.0000  0.5000  0.5000
Co  0.5000  0.5000  0.5000

Entry 8:
## BaNdGa3 (PBE)

Data for an optimized crystal structure of BaNdGa3.

Summary:
DFT formation energy = -0.47 eV/atom
Magnetic moment = 0.00 μB/f.u.

Lattice parameters (Å, degrees): 4.8445 26.7866 4.3166 90.00 90.00 90.00
Space group Cmcm (No. 63)
Inequivalent atoms, fractional coordinates:
Ba  0.0000  0.0743  0.2500
Nd  0.0000  0.2034  0.7500
Ga  0.0000  0.3200  0.7500
Ga  0.0000  0.3763  0.2500
Ga  0.0000  0.4746  0.2500

Entry 9:
## PuGa3Pd10 (PBE)

Data for an optimized crystal structure of PuGa3Pd10.

Summary:
DFT formation energy = -0.45 eV/atom
Magnetic moment = 5.10 μB/f.u.

Lattice parameters (Å, degrees): 12.4621 12.4621 12.4621 90.00 90.00 90.00
Space group Fm-3m (No. 225)
Inequivalent atoms, fractional coordinates:
Pu  0.2500  0.2500  0.2500
Ga  0.0000  0.0000  0.2298
Pd  0.0000  0.1728  0.3272
Pd  0.1205  0.1205  0.1205

Entry 10:
## ScW2Cl (PBE)

Data for an optimized crystal structure of ScW2Cl.

Summary:
Magnetic moment = 0.00 μB/f.u.
E_form (uncorrected) = 0.4840 eV per atom

Lattice parameters (Å, degrees): 3.6784 3.6784 22.2456 90.00 90.00 90.00
Space group I-42d (No. 122)
Inequivalent atoms, fractional coordinates:
Sc  0.0000  0.0000  0.0000
W  0.2374  0.2500  0.1250
Cl  0.0000  0.0000  0.5000

Entry 11:
## AgBi2PdO6 (PBE)

Data for an optimized crystal structure of AgBi2PdO6.

Summary:
Magnetic moment = 0.00 μB/f.u.
E_form (uncorrected) = -0.7115 eV per atom

Lattice parameters (Å, degrees): 5.7534 5.7534 15.4313 90.00 90.00 120.00
Space group R3 (No. 146, hexagonal axes)
Inequivalent atoms, fractional coordinates:
Ag  0.0000  0.0000  0.0000
Bi  0.0000  0.0000  0.2705
Bi  0.0000  0.0000  0.7866
Pd  0.0000  0.0000  0.4728
O  0.0063  0.7285  0.3884
O  0.0107  0.3771  0.2093